! Cu3Pt (SCAN, PBEsol geometry); values from VASP
! space-group type	P-6m2 (187)
! E	-29.007	eV per atom
! energy of formation	-0.06	eV/atom
! theoretical density	12.85	g/cm³
&SYSTEM
  ibrav = 0, nat = 4, ntyp = 2
/
ATOMIC_SPECIES
Cu 63.55 Cu.upf
Pt 195.08 Pt.upf
CELL_PARAMETERS angstrom
-1.849 0.501 1.797
1.562 -2.094 0.271
5.443 4.619 4.314
ATOMIC_POSITIONS angstrom
Cu 0.000 0.000 0.000
Cu 4.571 2.289 4.066
Cu 1.722 -0.129 1.807
Pt 2.721 2.309 2.157